[1]
# FeTeNCl2

Crystalline FeTeNCl2 at its relaxed geometry (PBE-GGA, the Alexandria database).

abc: 5.589 4.903 5.589
angles: 90.00 90.00 90.00
Each line ends with the local moment (μB).
Positions (direct):
N  0.500  0.500  0.500  -1.92
Te  0.000  0.000  0.000  -0.03
Fe  0.000  0.500  0.000  2.92
Cl  0.000  0.000  0.500  -0.04
Cl  0.500  0.000  0.000  -0.02

Uncorrected energy: -17.50 eV per cell
V: 153 Å³ per cell


[2]
# Pr5NdSb5

Crystalline Pr5NdSb5 at its relaxed geometry (PBE-GGA, the Alexandria database).

abc: 6.393 7.812 9.027
angles: 106.81 90.00 114.15
Positions (direct):
Pr  0.669  0.338  0.332
Pr  0.667  0.333  0.835
Pr  0.000  0.000  0.500
Pr  0.333  0.667  0.165
Pr  0.331  0.662  0.668
Nd  0.000  0.000  0.000
Sb  0.833  0.666  0.167
Sb  0.834  0.667  0.666
Sb  0.500  0.000  0.000
Sb  0.166  0.333  0.334
Sb  0.167  0.334  0.833

Uncorrected energy: -60.40 eV per cell
V: 390 Å³ per cell


[3]
# Rb2BaUS6

Crystalline Rb2BaUS6 at its relaxed geometry (PBE-GGA, the Alexandria database).

abc: 7.783 7.919 11.142
angles: 90.00 90.33 90.00
Each line ends with the local moment (μB).
Positions (direct):
Rb  0.007  0.966  0.251  0.00
Rb  0.507  0.534  0.751  0.00
Rb  0.993  0.034  0.749  0.00
Rb  0.493  0.466  0.249  0.00
Ba  0.500  0.000  0.000  0.00
Ba  0.000  0.500  0.500  0.00
U  0.500  0.000  0.500  -0.33
U  0.000  0.500  0.000  -0.33
S  0.262  0.687  0.027  0.24
S  0.762  0.813  0.527  0.24
S  0.738  0.313  0.973  0.24
S  0.238  0.187  0.473  0.24
S  0.315  0.741  0.466  0.25
S  0.815  0.759  0.966  0.25
S  0.685  0.259  0.534  0.25
S  0.185  0.241  0.034  0.25
S  0.943  0.518  0.223  0.24
S  0.443  0.982  0.723  0.24
S  0.057  0.482  0.777  0.24
S  0.557  0.018  0.277  0.24

Uncorrected energy: -102.53 eV per cell
V: 687 Å³ per cell


[4]
# LiAcTe

Crystalline LiAcTe at its relaxed geometry (PBE-GGA, the Alexandria database).

abc: 4.474 7.734 9.631
angles: 90.00 90.00 90.00
Positions (direct):
Li  0.250  0.917  0.750
Li  0.250  0.583  0.250
Li  0.750  0.417  0.750
Li  0.750  0.083  0.250
Ac  0.250  0.250  0.000
Ac  0.250  0.250  0.500
Ac  0.750  0.750  0.500
Ac  0.750  0.750  0.000
Te  0.750  0.417  0.250
Te  0.750  0.083  0.750
Te  0.250  0.917  0.250
Te  0.250  0.583  0.750

Uncorrected energy: -48.33 eV per cell
V: 333 Å³ per cell
E above lowest polymorph: 1.1 kJ/mol of atoms


[5]
# Sr2ErSn3Au4

Crystalline Sr2ErSn3Au4 at its relaxed geometry (PBE-GGA, the Alexandria database).

abc: 4.697 4.697 11.881
angles: 90.00 90.00 90.00
Positions (direct):
Sr  0.500  0.000  0.226
Sr  0.000  0.500  0.774
Er  0.500  0.500  0.500
Sn  0.000  0.000  0.500
Sn  0.500  0.000  0.872
Sn  0.000  0.500  0.128
Au  0.500  0.500  0.000
Au  0.000  0.000  0.000
Au  0.500  0.000  0.644
Au  0.000  0.500  0.356

Energy of formation from the pure elements: -638.8 meV per atom
Uncorrected energy: -39.43 eV per cell
V: 262 Å³ per cell


[6]
# LaCoIr

Crystalline LaCoIr at its relaxed geometry (PBE-GGA, the Alexandria database).

abc: 4.445 4.445 4.445
angles: 60.00 60.00 60.00
Each line ends with the local moment (μB).
Positions (direct):
Co  0.750  0.750  0.750  1.40
Ir  0.000  0.000  0.000  0.41
La  0.500  0.500  0.500  -0.07

Energy of formation from the pure elements: 73.5 meV per atom
Uncorrected energy: -20.67 eV per cell
V: 62 Å³ per cell


[7]
# LaPrCdRu

Crystalline LaPrCdRu at its relaxed geometry (PBE-GGA, the Alexandria database).

abc: 5.261 5.261 5.261
angles: 60.00 60.00 60.00
Positions (direct):
Pr  0.750  0.750  0.750
Ru  0.500  0.500  0.500
Cd  0.000  0.000  0.000
La  0.250  0.250  0.250

Energy of formation from the pure elements: -148.7 meV per atom
Uncorrected energy: -20.49 eV per cell
V: 103 Å³ per cell
E above lowest polymorph: 7.8 kJ/mol of atoms


[8]
# LaI4O12

Crystalline LaI4O12 at its relaxed geometry (PBE-GGA, the Alexandria database).

abc: 7.909 10.518 14.548
angles: 109.68 90.00 90.00
Each line ends with the local moment (μB).
Positions (direct):
La  0.732  0.320  0.362  0.00
La  0.232  0.680  0.138  0.00
La  0.268  0.680  0.638  0.00
La  0.768  0.320  0.862  0.00
I  0.859  0.941  0.233  0.01
I  0.359  0.059  0.267  0.01
I  0.141  0.059  0.767  0.01
I  0.641  0.941  0.733  0.01
I  0.658  0.146  0.067  0.00
I  0.158  0.854  0.433  0.00
I  0.342  0.854  0.933  0.00
I  0.842  0.146  0.567  0.00
I  0.223  0.463  0.363  0.00
I  0.723  0.537  0.137  0.00
I  0.777  0.537  0.637  0.00
I  0.277  0.463  0.863  0.00
I  0.658  0.710  0.440  0.03
I  0.158  0.290  0.060  0.03
I  0.342  0.290  0.560  0.03
I  0.842  0.710  0.940  0.03
O  0.911  0.119  0.293  0.08
O  0.411  0.881  0.207  0.08
O  0.089  0.881  0.707  0.08
O  0.589  0.119  0.793  0.08
O  0.079  0.897  0.195  0.02
O  0.579  0.103  0.305  0.02
O  0.921  0.103  0.805  0.02
O  0.421  0.897  0.695  0.02
O  0.777  0.937  0.113  0.08
O  0.277  0.063  0.387  0.08
O  0.223  0.063  0.887  0.08
O  0.723  0.937  0.613  0.08
O  0.707  0.275  0.185  0.03
O  0.207  0.725  0.315  0.03
O  0.293  0.725  0.815  0.03
O  0.793  0.275  0.685  0.03
O  0.603  0.265  0.004  0.04
O  0.103  0.735  0.496  0.04
O  0.397  0.735  0.996  0.04
O  0.897  0.265  0.504  0.04
O  0.445  0.100  0.094  0.03
O  0.945  0.900  0.406  0.03
O  0.555  0.900  0.906  0.03
O  0.055  0.100  0.594  0.03
O  0.021  0.380  0.327  0.03
O  0.521  0.620  0.173  0.03
O  0.979  0.620  0.673  0.03
O  0.479  0.380  0.827  0.03
O  0.377  0.325  0.320  0.02
O  0.877  0.675  0.180  0.02
O  0.623  0.675  0.680  0.02
O  0.123  0.325  0.820  0.02
O  0.218  0.469  0.492  0.06
O  0.718  0.531  0.008  0.06
O  0.782  0.531  0.508  0.06
O  0.282  0.469  0.992  0.06
O  0.686  0.553  0.334  0.07
O  0.186  0.447  0.166  0.07
O  0.314  0.447  0.666  0.07
O  0.814  0.553  0.834  0.07
O  0.455  0.670  0.485  0.04
O  0.955  0.330  0.015  0.04
O  0.545  0.330  0.515  0.04
O  0.045  0.670  0.985  0.04
O  0.586  0.831  0.384  0.19
O  0.086  0.169  0.116  0.19
O  0.414  0.169  0.616  0.19
O  0.914  0.831  0.884  0.19

Uncorrected energy: -333.45 eV per cell
V: 1139 Å³ per cell


[9]
# ScVS3

Crystalline ScVS3 at its relaxed geometry (PBE-GGA, the Alexandria database).

abc: 4.552 4.552 4.552
angles: 90.00 90.00 90.00
Each line ends with the local moment (μB).
Positions (direct):
Sc  0.500  0.500  0.500  0.21
S  0.000  0.500  0.000  -0.02
S  0.000  0.000  0.500  -0.02
S  0.500  0.000  0.000  -0.02
V  0.000  0.000  0.000  0.24

Uncorrected energy: -31.10 eV per cell
V: 94 Å³ per cell
E above lowest polymorph: 0.0 kJ/mol of atoms


[10]
# NaNiP2W

Crystalline NaNiP2W at its relaxed geometry (PBE-GGA, the Alexandria database).

abc: 3.934 3.934 5.922
angles: 109.40 109.40 90.00
Positions (direct):
Na  0.000  0.000  0.000
Ni  0.250  0.750  0.500
P  0.626  0.626  0.251
P  0.374  0.374  0.749
W  0.750  0.250  0.500

Energy of formation from the pure elements: -353.9 meV per atom
Uncorrected energy: -32.64 eV per cell
V: 81 Å³ per cell


[11]
# Y2TlHg

Crystalline Y2TlHg at its relaxed geometry (PBE-GGA, the Alexandria database).

abc: 3.798 3.727 8.409
angles: 63.71 90.00 90.00
Positions (direct):
Y  0.000  0.992  0.008
Y  0.000  0.508  0.492
Tl  0.500  0.750  0.750
Hg  0.500  0.250  0.250

Energy of formation from the pure elements: -446.6 meV per atom
Uncorrected energy: -17.38 eV per cell
V: 107 Å³ per cell


[12]
# CeInCuNi

Crystalline CeInCuNi at its relaxed geometry (PBE-GGA, the Alexandria database).

abc: 4.717 4.717 4.717
angles: 60.00 60.00 60.00
Positions (direct):
Ni  0.750  0.750  0.750
Cu  0.250  0.250  0.250
Ce  0.500  0.500  0.500
In  0.000  0.000  0.000

Energy of formation from the pure elements: -267.0 meV per atom
Uncorrected energy: -19.62 eV per cell
V: 74 Å³ per cell